# Sm3PdRh PBE-GGA relaxed
# Energy relative to the elements, eV/atom: -0.554
# Total energy, eV per atom: -5.895
# Offset from the most stable computed form, meV per atom: 111
data_Sm3PdRh
_chemical_formula_sum 'Sm6 Pd2 Rh2'
_symmetry_space_group_name_H-M 'P 1 m 1'
_symmetry_Int_Tables_number 6
_cell_length_a 8.5596
_cell_length_b 3.9561
_cell_length_c 8.5721
_cell_angle_alpha 90.00
_cell_angle_beta 109.66
_cell_angle_gamma 90.00
loop_
_symmetry_equiv_pos_as_xyz
'x,y,z'
'x,-y,z'
loop_
_atom_site_label
_atom_site_fract_x
_atom_site_fract_y
_atom_site_fract_z
Sm1 0.0000 0.0000 0.0000
Sm2 0.0491 0.5000 0.5921
Sm3 0.2901 0.5000 0.3496
Sm4 0.4094 0.5000 0.9520
Sm5 0.6503 0.5000 0.7098
Sm6 0.6995 0.0000 0.3014
Pd1 0.3497 0.0000 0.6508
Pd2 0.8490 0.5000 0.1499
Rh1 0.3498 0.0000 0.1509
Rh2 0.8497 0.0000 0.6507

=====

# SmPdRh4 PBE-GGA relaxed
# Energy relative to the elements, eV/atom: -0.253
# Total energy, eV per atom: -6.806
data_SmPdRh4
_chemical_formula_sum 'Sm4 Pd4 Rh16'
_symmetry_space_group_name_H-M 'F -4 3 m'
_symmetry_Int_Tables_number 216
_symmetry_space_group_name_Hall 'F -4 2 3'
_cell_length_a 7.4310
_cell_length_b 7.4310
_cell_length_c 7.4310
_cell_angle_alpha 90.00
_cell_angle_beta 90.00
_cell_angle_gamma 90.00
loop_
_atom_site_label
_atom_site_fract_x
_atom_site_fract_y
_atom_site_fract_z
Sm1 0.0000 0.0000 0.0000
Pd1 0.2500 0.2500 0.7500
Rh1 0.1245 0.1245 0.3755

=====

# Sm4Pd3Rh PBE-GGA relaxed
# Energy relative to the elements, eV/atom: -0.827
# Total energy, eV per atom: -6.053
data_Sm4Pd3Rh
_chemical_formula_sum 'Sm4 Pd3 Rh1'
_symmetry_space_group_name_H-M 'P m m 2'
_symmetry_Int_Tables_number 25
_cell_length_a 3.8284
_cell_length_b 4.5585
_cell_length_c 10.7393
_cell_angle_alpha 90.00
_cell_angle_beta 90.00
_cell_angle_gamma 90.00
loop_
_symmetry_equiv_pos_as_xyz
'x,y,z'
'-x,-y,z'
'-x,y,z'
'x,-y,z'
loop_
_atom_site_label
_atom_site_fract_x
_atom_site_fract_y
_atom_site_fract_z
Sm1 0.0000 0.0000 0.0000
Sm2 0.0000 0.5000 0.2678
Sm3 0.5000 0.0000 0.4857
Sm4 0.5000 0.5000 0.7673
Pd1 0.0000 0.0000 0.7161
Pd2 0.0000 0.5000 0.5471
Pd3 0.5000 0.5000 0.0445
Rh1 0.5000 0.0000 0.2212

=====

# Sm8Pd5Rh PBE-GGA relaxed
# Energy relative to the elements, eV/atom: -0.681
# Total energy, eV per atom: -5.757
data_Sm8Pd5Rh
_chemical_formula_sum 'Sm16 Pd10 Rh2'
_symmetry_space_group_name_H-M 'I -4'
_symmetry_Int_Tables_number 82
_cell_length_a 8.9049
_cell_length_b 8.9049
_cell_length_c 8.9683
_cell_angle_alpha 90.00
_cell_angle_beta 90.00
_cell_angle_gamma 90.00
loop_
_symmetry_equiv_pos_as_xyz
'x,y,z'
'y,-x,-z'
'-x,-y,z'
'-y,x,-z'
'x+1/2,y+1/2,z+1/2'
'y+1/2,-x+1/2,-z+1/2'
'-x+1/2,-y+1/2,z+1/2'
'-y+1/2,x+1/2,-z+1/2'
loop_
_atom_site_label
_atom_site_fract_x
_atom_site_fract_y
_atom_site_fract_z
Sm1 0.0584 0.3035 0.4363
Sm2 0.0591 0.1885 0.8120
Pd1 0.0000 0.5000 0.7500
Pd2 0.1235 0.2495 0.1235
Rh1 0.0000 0.0000 0.5000

=====

# SmPd4Rh PBE-GGA relaxed
# Energy relative to the elements, eV/atom: -0.327
# Total energy, eV per atom: -5.801
data_SmPd4Rh
_chemical_formula_sum 'Sm4 Pd16 Rh4'
_symmetry_space_group_name_H-M 'F -4 3 m'
_symmetry_Int_Tables_number 216
_symmetry_space_group_name_Hall 'F -4 2 3'
_cell_length_a 7.5114
_cell_length_b 7.5114
_cell_length_c 7.5114
_cell_angle_alpha 90.00
_cell_angle_beta 90.00
_cell_angle_gamma 90.00
loop_
_atom_site_label
_atom_site_fract_x
_atom_site_fract_y
_atom_site_fract_z
Sm1 0.0000 0.0000 0.0000
Pd1 0.1243 0.1243 0.3757
Rh1 0.2500 0.2500 0.7500

=====

# Sm2Pd2Rh PBE-GGA relaxed
# Energy relative to the elements, eV/atom: -0.722
# Total energy, eV per atom: -6.157
# Offset from the most stable computed form, meV per atom: 0
data_Sm2Pd2Rh
_chemical_formula_sum 'Sm4 Pd4 Rh2'
_symmetry_space_group_name_H-M 'A m m 2'
_symmetry_Int_Tables_number 38
_cell_length_a 3.7727
_cell_length_b 3.9633
_cell_length_c 14.5617
_cell_angle_alpha 90.00
_cell_angle_beta 90.00
_cell_angle_gamma 90.00
loop_
_symmetry_equiv_pos_as_xyz
'x,y,z'
'-x,-y,z'
'-x,y,z'
'x,-y,z'
'x,y+1/2,z+1/2'
'-x,-y+1/2,z+1/2'
'-x,y+1/2,z+1/2'
'x,-y+1/2,z+1/2'
loop_
_atom_site_label
_atom_site_fract_x
_atom_site_fract_y
_atom_site_fract_z
Sm1 0.0000 0.0000 0.0000
Sm2 0.0000 0.0000 0.2492
Pd1 0.5000 0.0000 0.6314
Pd2 0.5000 0.0000 0.8218
Rh1 0.5000 0.0000 0.4437